FeTc2Pt after structural relaxation, computed with GGA-PBE.

a b c (Å): 3.192 3.192 5.661
angles (deg): 90.00 90.00 90.00
Each line ends with the local moment (μB).
Element x y z (fractional)
Fe 0.000 0.000 0.504  2.71
Pt 0.500 0.500 0.730  0.06
Tc 0.000 0.000 0.014  -0.42
Tc 0.500 0.500 0.253  0.08

Summary:
As for the formation energy: 0.071 eV per atom. For the relative energy among the computed polymorphs, the calculation gives 12.48 kJ/mol of atoms. The crystal system is tetragonal.

YCd2Ag2 after structural relaxation, computed with GGA-PBE.

a b c (Å): 8.243 8.243 3.203
angles (deg): 90.00 90.00 90.00
Element x y z (fractional)
Y 0.000 0.000 0.000
Y 0.500 0.500 0.000
Ag 0.374 0.874 0.000
Ag 0.874 0.626 0.000
Ag 0.626 0.126 0.000
Ag 0.126 0.374 0.000
Cd 0.171 0.671 0.500
Cd 0.671 0.829 0.500
Cd 0.829 0.329 0.500
Cd 0.329 0.171 0.500

Summary:
As for the formation energy: -0.120 eV per atom. For the relative energy among the computed polymorphs, the calculation gives 10.46 kJ/mol of atoms. The crystal system is tetragonal.

SrCe4N5 after structural relaxation, computed with GGA-PBE.

a b c (Å): 3.598 5.120 9.565
angles (deg): 105.52 100.84 90.00
Each line ends with the local moment (μB).
Element x y z (fractional)
Sr 0.000 0.000 0.000  0.01
Ce 0.400 0.400 0.799  0.41
Ce 0.800 0.800 0.599  0.38
Ce 0.200 0.200 0.401  0.38
Ce 0.600 0.600 0.201  0.41
N 0.614 0.114 0.228  -0.03
N 0.805 0.305 0.610  -0.04
N 0.195 0.695 0.390  -0.04
N 0.000 0.500 0.000  -0.03
N 0.386 0.886 0.772  -0.03

Summary:
The uncorrected formation energy comes out at -1343.3 meV per atom. The crystal system is orthorhombic.

Ac4Ag2S after structural relaxation, computed with GGA-PBE.

a b c (Å): 4.387 7.409 8.122
angles (deg): 73.70 74.33 72.78
Element x y z (fractional)
Ac 0.091 0.201 0.616
Ac 0.909 0.799 0.384
Ac 0.332 0.256 0.079
Ac 0.668 0.744 0.921
Ag 0.383 0.558 0.676
Ag 0.617 0.442 0.324
S 0.000 0.000 0.000

Summary:
The uncorrected formation energy comes out at -682.1 meV per atom. For the relative energy among the computed polymorphs, the calculation gives 0.00 kJ/mol of atoms. The crystal system is monoclinic.

Looking at total magnetic moment for the records above, in order, we have 2.406; 0.000; 1.805; 0.000 μB/f.u..